Entry 1:
First-principles (GGA-PBE) data for crystalline Cs3InP2 at its relaxed geometry, as listed in Alexandria via LeMat-Bulk.

Structure (CIF):
```
data_Cs3InP2
_space_group_name_H-M_alt 'C 1 2/m 1'
_space_group_IT_number 12
_cell_length_a 20.6556
_cell_length_b 4.5600
_cell_length_c 13.0086
_cell_angle_alpha 90.00
_cell_angle_beta 119.43
_cell_angle_gamma 90.00
loop_
_space_group_symop_operation_xyz
'x,y,z'
'-x,-y,-z'
'-x,y,-z'
'x,-y,z'
'x+1/2,y+1/2,z'
'-x+1/2,-y+1/2,-z'
'-x+1/2,y+1/2,-z'
'x+1/2,-y+1/2,z'
loop_
_atom_site_label
_atom_site_type_symbol
_atom_site_fract_x
_atom_site_fract_y
_atom_site_fract_z
Cs1 Cs 0.0488 0.0000 0.2521
Cs2 Cs 0.1655 0.5000 0.0022
Cs3 Cs 0.2105 0.0000 0.6149
In1 In 0.0664 0.5000 0.6479
P1 P 0.0805 0.5000 0.4575
P2 P 0.1263 0.0000 0.7842
```

Computed properties:
Calculated total energy   -17.57 eV/f.u.
Energy relative to the elements   -0.241 eV/atom
ρ   3.6 g/cm³
Crystal system   monoclinic
Size of the total moment   0.00 μB/f.u.
Density of states at the Fermi level   5.21 states/eV per cell

---

Entry 2:
First-principles (GGA-PBE) data for crystalline PrTm5In6 at its relaxed geometry, as listed in Alexandria via LeMat-Bulk.

Structure (CIF):
```
data_PrTm5In6
_space_group_name_H-M_alt 'C m m m'
_space_group_IT_number 65
_space_group_name_Hall '-C 2 2'
_cell_length_a 5.3046
_cell_length_b 15.9304
_cell_length_c 7.4844
_cell_angle_alpha 90.00
_cell_angle_beta 90.00
_cell_angle_gamma 90.00
loop_
_atom_site_label
_atom_site_type_symbol
_atom_site_fract_x
_atom_site_fract_y
_atom_site_fract_z
Pr1 Pr 0.0000 0.0000 0.0000
Tm1 Tm 0.0000 0.0000 0.5000
Tm2 Tm 0.0000 0.3321 0.0000
Tm3 Tm 0.0000 0.3374 0.5000
In1 In 0.0000 0.1706 0.2572
In2 In 0.0000 0.5000 0.2557
```

Computed properties:
Calculated total energy   -48.76 eV/f.u.
Energy relative to the elements   -0.433 eV/atom
ρ   8.8 g/cm³
Crystal system   orthorhombic
Size of the total moment   0.00 μB/f.u.
Density of states at the Fermi level   12.16 states/eV per cell

---

Entry 3:
First-principles (GGA-PBE) data for crystalline DyErPd4 at its relaxed geometry, as listed in Alexandria via LeMat-Bulk.

Structure (CIF):
```
data_DyErPd4
_space_group_name_H-M_alt 'C m m m'
_space_group_IT_number 65
_space_group_name_Hall '-C 2 2'
_cell_length_a 4.1034
_cell_length_b 30.4778
_cell_length_c 3.9101
_cell_angle_alpha 90.00
_cell_angle_beta 90.00
_cell_angle_gamma 90.00
loop_
_atom_site_label
_atom_site_type_symbol
_atom_site_fract_x
_atom_site_fract_y
_atom_site_fract_z
Dy1 Dy 0.0000 0.2017 0.0000
Er1 Er 0.0000 0.4320 0.5000
Pd1 Pd 0.0000 0.0000 0.5000
Pd2 Pd 0.0000 0.1337 0.5000
Pd3 Pd 0.0000 0.2849 0.5000
Pd4 Pd 0.0000 0.3637 0.0000
Pd5 Pd 0.0000 0.5000 0.0000
```

Computed properties:
Calculated total energy   -34.31 eV/f.u.
Energy relative to the elements   -0.729 eV/atom
ρ   10.3 g/cm³
Crystal system   orthorhombic
Polymorph energy (0 for the lowest one)   1.98 kcal/mol of atoms
Size of the total moment   0.00 μB/f.u.
Density of states at the Fermi level   10.32 states/eV per cell